[1]
ZrMoAu2: relaxed, PBE.

abc: 6.660 6.660 6.660
angles: 90.00 90.00 90.00
Space group F-43m (No. 216)
Unique sites:
Zr (0.000, 0.000, 0.000) (multiplicity 4)
Mo (0.250, 0.250, 0.750) (multiplicity 4)
Au (0.000, 0.000, 0.500) (multiplicity 4)
Au (0.250, 0.250, 0.250) (multiplicity 4)

Results
formation enthalpy at 0 K	0.134	eV/atom
polymorph energy (0 for the lowest one)	0.267	eV per atom
density of states at the Fermi level	1.08	states/eV/atom
calculated total energy	-6.3500	eV per atom
magnetization	0.517	μB per atom

***

[2]
Sm3Y5Se12: relaxed, PBE.

abc: 16.944 16.944 16.944
angles: 90.00 90.00 90.00
Space group Ia-3d (No. 230)
Unique sites:
Sm (0.000, 0.250, 0.125) (multiplicity 24)
Y (0.000, 0.000, 0.000) (multiplicity 16)
Y (0.000, 0.250, 0.375) (multiplicity 24)
Se (0.022, 0.070, 0.652) (multiplicity 96)

Results
formation energy without anion corrections	-33.9	eV/f.u.
density of states at the Fermi level	0.00	states/eV/atom
calculated total energy	-6.1111	eV per atom
magnetization	0.000	μB per atom

***

[3]
AlBiPb2: relaxed, PBE.

abc: 6.700 6.700 13.637
angles: 90.00 90.00 90.00
Space group I-42d (No. 122)
Unique sites:
Al (0.000, 0.000, 0.000) (multiplicity 4)
Bi (0.000, 0.000, 0.500) (multiplicity 4)
Pb (0.213, 0.250, 0.125) (multiplicity 8)

Results
formation enthalpy at 0 K	0.251	eV/atom
polymorph energy (0 for the lowest one)	0.078	eV per atom
density of states at the Fermi level	0.12	states/eV/atom
calculated total energy	-3.5093	eV per atom
magnetization	0.000	μB per atom

***

[4]
NdAs2: relaxed, PBE.

abc: 4.141 6.912 10.613
angles: 90.00 106.77 90.00
Space group P2_1/c (No. 14)
Unique sites:
Nd (0.090, 0.187, 0.360) (multiplicity 4)
As (0.271, 0.623, 0.450) (multiplicity 4)
As (0.462, 0.144, 0.671) (multiplicity 4)

Results
formation enthalpy at 0 K	-0.994	eV/atom
density of states at the Fermi level	0.04	states/eV/atom
calculated total energy	-5.6830	eV per atom
magnetization	0.000	μB per atom